1.
First-principles (PBE) data for an optimized crystal structure of AsPd8, as listed in OQMD via LeMat-Bulk.

**Calculated total energy**: -46.72 eV per formula unit
**Crystal system**: monoclinic

```
data_AsPd8
_space_group_name_H-M_alt 'C 1 2/m 1'
_space_group_IT_number 12
_cell_length_a 8.6428
_cell_length_b 3.8688
_cell_length_c 26.1544
_cell_angle_alpha 90.00
_cell_angle_beta 90.61
_cell_angle_gamma 90.00
loop_
_space_group_symop_operation_xyz
'x,y,z'
'-x,-y,-z'
'-x,y,-z'
'x,-y,z'
'x+1/2,y+1/2,z'
'-x+1/2,-y+1/2,-z'
'-x+1/2,y+1/2,-z'
'x+1/2,-y+1/2,z'
loop_
_atom_site_label
_atom_site_type_symbol
_atom_site_fract_x
_atom_site_fract_y
_atom_site_fract_z
_atom_site_occupancy
As1 As 0.0527 0.0000 0.2214 1
Pd1 Pd 0.0504 0.5000 0.3790 1
Pd2 Pd 0.0499 0.5000 0.7279 1
Pd3 Pd 0.0518 0.0000 0.5518 1
Pd4 Pd 0.1489 0.0000 0.6560 1
Pd5 Pd 0.1490 0.5000 0.4825 1
Pd6 Pd 0.1536 0.0000 0.3103 1
Pd7 Pd 0.2491 0.0000 0.4141 1
Pd8 Pd 0.2504 0.0000 0.7656 1
```



2.
First-principles (PBE) data for an optimized crystal structure of BiPPtO, as listed in OQMD via LeMat-Bulk.

**Polymorph energy (0 for the lowest one)**: 3.60 eV/f.u.
**Calculated total energy**: -19.05 eV per formula unit
**Spin magnetization**: 0.00 μB per formula unit
**Crystal system**: tetragonal

```
data_BiPPtO
_space_group_name_H-M_alt 'P 4/n m m'
_space_group_IT_number 129
_cell_length_a 4.4531
_cell_length_b 4.4531
_cell_length_c 9.0598
_cell_angle_alpha 90.00
_cell_angle_beta 90.00
_cell_angle_gamma 90.00
loop_
_space_group_symop_operation_xyz
'x,y,z'
'-x,-y,-z'
'-y+1/2,x,z'
'y+1/2,-x,-z'
'-x+1/2,-y+1/2,z'
'x+1/2,y+1/2,-z'
'y,-x+1/2,z'
'-y,x+1/2,-z'
'x+1/2,-y,-z'
'-x+1/2,y,z'
'-y,-x,-z'
'y,x,z'
'-x,y+1/2,-z'
'x,-y+1/2,z'
'y+1/2,x+1/2,-z'
'-y+1/2,-x+1/2,z'
loop_
_atom_site_label
_atom_site_type_symbol
_atom_site_fract_x
_atom_site_fract_y
_atom_site_fract_z
_atom_site_occupancy
Bi1 Bi 0.2500 0.7500 0.0000 1
P1 P 0.2500 0.2500 0.2125 1
Pt1 Pt 0.2500 0.2500 0.4550 1
O1 O 0.2500 0.7500 0.5000 1
```



3.
First-principles (PBE) data for an optimized crystal structure of PaSiTc, as listed in OQMD via LeMat-Bulk.

**Polymorph energy (0 for the lowest one)**: 3.85 eV/f.u.
**Calculated total energy**: -23.44 eV per formula unit
**Spin magnetization**: 0.01 μB per formula unit
**Crystal system**: cubic

```
data_PaSiTc
_space_group_name_H-M_alt 'F -4 3 m'
_space_group_IT_number 216
_space_group_name_Hall 'F -4 2 3'
_cell_length_a 6.4137
_cell_length_b 6.4137
_cell_length_c 6.4137
_cell_angle_alpha 90.00
_cell_angle_beta 90.00
_cell_angle_gamma 90.00
loop_
_atom_site_label
_atom_site_type_symbol
_atom_site_fract_x
_atom_site_fract_y
_atom_site_fract_z
_atom_site_occupancy
Pa1 Pa 0.0000 0.0000 0.0000 1
Si1 Si 0.2500 0.2500 0.7500 1
Tc1 Tc 0.2500 0.2500 0.2500 1
```



4.
First-principles (PBE) data for an optimized crystal structure of HoZnAs, as listed in OQMD via LeMat-Bulk.

**Calculated total energy**: -11.47 eV per formula unit
**Spin magnetization**: 0.00 μB per formula unit
**Crystal system**: cubic

```
data_HoZnAs
_space_group_name_H-M_alt 'F -4 3 m'
_space_group_IT_number 216
_space_group_name_Hall 'F -4 2 3'
_cell_length_a 6.4415
_cell_length_b 6.4415
_cell_length_c 6.4415
_cell_angle_alpha 90.00
_cell_angle_beta 90.00
_cell_angle_gamma 90.00
loop_
_atom_site_label
_atom_site_type_symbol
_atom_site_fract_x
_atom_site_fract_y
_atom_site_fract_z
_atom_site_occupancy
Ho1 Ho 0.0000 0.0000 0.0000 1
Zn1 Zn 0.2500 0.2500 0.7500 1
As1 As 0.0000 0.0000 0.5000 1
```